Material: Ga12As5Au3
Method: DFT, PBE
State: optimized geometry

DOS(E_F) in states/eV/f.u.: 8.02
ΔH_f (0 K) in meV per atom: -103

a b c (Å): 15.1851 15.1851 15.1851
angles (deg): 90.00 90.00 90.00
Closest atoms and distances in Å follow each position.
Space group Ia-3d (No. 230)
Unique sites:
1 Ga 0.0165 0.0804 0.6542 [96 per cell]  2 As 2.51-2.65, 1 Au 2.63, 1 Ga 2.77
2 As 0.0000 0.0000 0.0000 [16 per cell]  6 Ga 2.65
3 As 0.0000 0.2500 0.3750 [24 per cell]  4 Ga 2.51
4 Au 0.0000 0.2500 0.1250 [24 per cell]  8 Ga 2.63-2.87